A geometry-optimized Sc4SbTeSe2 structure, computed with GGA-PBE.

Cell: 6.9338 3.9914 7.0171 Å, 90.00 109.08 90.00°
Fractional coordinates of all 8 atoms:
Sc  0.2313  0.0000  0.2189
Sc  0.2501  0.5000  0.7736
Sc  0.7499  0.5000  0.2264
Sc  0.7687  0.0000  0.7811
Sb  0.0000  0.0000  0.5000
Te  0.5000  0.5000  0.5000
Se  0.0000  0.5000  0.0000
Se  0.5000  0.0000  0.0000

Magnetic moment   0.0 μB per cell
SG   P2/m, No. 10
Energy relative to the elements, uncorrected   -10.54 eV per formula unit

A geometry-optimized Zr2VAg structure, computed with GGA-PBE.

Cell: 3.2501 3.2501 7.3684 Å, 90.00 90.00 90.00°
Fractional coordinates of all 4 atoms:
Zr  0.0000  0.0000  0.2240
Zr  0.0000  0.0000  0.7760
V  0.5000  0.5000  0.0000
Ag  0.5000  0.5000  0.5000

ΔH_f (0 K)   21 meV per atom
Magnetic moment   0.0 μB per cell
Energy above the most stable polymorph in this dataset   0 meV/atom
SG   P4/mmm, No. 123

A geometry-optimized TlPdI2O structure, computed with GGA-PBE.

Cell: 5.8579 5.8579 3.9650 Å, 90.00 90.00 90.00°
Fractional coordinates of all 5 atoms:
Tl  0.0000  0.0000  0.0000
Pd  0.5000  0.5000  0.5000
I  0.0000  0.5000  0.5000
I  0.5000  0.0000  0.5000
O  0.5000  0.5000  0.0000

Magnetic moment   1.2 μB per cell
Energy above the most stable polymorph in this dataset   0 meV/atom
SG   P4/mmm, No. 123
Energy relative to the elements, uncorrected   -1.16 eV per formula unit

A geometry-optimized MgAgBiCl6 structure, computed with GGA-PBE.

Cell: 6.7241 6.7241 12.2100 Å, 90.00 90.00 120.00°
Fractional coordinates of all 18 atoms:
Mg  0.3333  0.6667  0.2500
Mg  0.6667  0.3333  0.7500
Ag  0.0000  0.0000  0.0000
Ag  0.0000  0.0000  0.5000
Bi  0.3333  0.6667  0.7500
Bi  0.6667  0.3333  0.2500
Cl  0.0234  0.3608  0.1297
Cl  0.0234  0.6625  0.3703
Cl  0.3375  0.3608  0.3703
Cl  0.3375  0.9766  0.1297
Cl  0.3608  0.0234  0.6297
Cl  0.3608  0.3375  0.8703
Cl  0.6392  0.6625  0.1297
Cl  0.6392  0.9766  0.3703
Cl  0.6625  0.0234  0.8703
Cl  0.6625  0.6392  0.6297
Cl  0.9766  0.3375  0.6297
Cl  0.9766  0.6392  0.8703

Magnetic moment   0.0 μB per cell
SG   P-31c, No. 163
Energy relative to the elements, uncorrected   -10.26 eV per formula unit

A geometry-optimized NpInPb2 structure, computed with GGA-PBE.

Cell: 4.8254 4.8254 4.6512 Å, 90.00 90.00 90.00°
Fractional coordinates of all 4 atoms:
Np  0.0000  0.0000  0.0000
In  0.5000  0.5000  0.0000
Pb  0.0000  0.5000  0.5000
Pb  0.5000  0.0000  0.5000

ΔH_f (0 K)   68 meV per atom
Magnetic moment   4.3 μB per cell
Energy above the most stable polymorph in this dataset   0 meV/atom
SG   P4/mmm, No. 123

A geometry-optimized NaTlBi2 structure, computed with GGA-PBE.

Cell: 8.9659 8.9659 6.6001 Å, 90.00 90.00 90.00°
Fractional coordinates of all 16 atoms:
Na  0.0000  0.0000  0.0000
Na  0.0000  0.5000  0.2500
Na  0.5000  0.0000  0.7500
Na  0.5000  0.5000  0.5000
Tl  0.0000  0.0000  0.5000
Tl  0.0000  0.5000  0.7500
Tl  0.5000  0.0000  0.2500
Tl  0.5000  0.5000  0.0000
Bi  0.2159  0.2500  0.6250
Bi  0.2500  0.7159  0.8750
Bi  0.2500  0.7841  0.3750
Bi  0.2841  0.2500  0.1250
Bi  0.7159  0.7500  0.1250
Bi  0.7500  0.2159  0.3750
Bi  0.7500  0.2841  0.8750
Bi  0.7841  0.7500  0.6250

ΔH_f (0 K)   -16 meV per atom
Magnetic moment   0.0 μB per cell
Energy above the most stable polymorph in this dataset   147 meV/atom
SG   I-42d, No. 122

A geometry-optimized Cs3Cd5Sn2 structure, computed with GGA-PBE.

Cell: 10.8223 10.8223 10.8223 Å, 118.55 78.04 136.83°
Fractional coordinates of all 20 atoms:
Cs  0.1239  0.7475  0.8714
Cs  0.2500  0.2500  0.0000
Cs  0.3761  0.2475  0.6236
Cs  0.6239  0.7525  0.3764
Cs  0.7500  0.7500  0.0000
Cs  0.8761  0.2525  0.1286
Cd  0.0012  0.7500  0.2512
Cd  0.1246  0.3976  0.5223
Cd  0.2500  0.7500  0.5000
Cd  0.3754  0.8976  0.2730
Cd  0.4988  0.7500  0.7488
Cd  0.5012  0.2500  0.2512
Cd  0.6246  0.1024  0.7270
Cd  0.7500  0.2500  0.5000
Cd  0.8754  0.6024  0.4777
Cd  0.9988  0.2500  0.7488
Sn  0.1648  0.1429  0.3077
Sn  0.3352  0.6429  0.9781
Sn  0.6648  0.3571  0.0219
Sn  0.8352  0.8571  0.6923

ΔH_f (0 K)   -43 meV per atom
Magnetic moment   0.0 μB per cell
SG   Ibam, No. 72

A geometry-optimized Dy6IrRh5 structure, computed with GGA-PBE.

Cell: 4.8189 6.9218 7.6218 Å, 90.00 108.38 90.00°
Fractional coordinates of all 12 atoms:
Dy  0.0000  0.2487  0.0000
Dy  0.0000  0.7513  0.0000
Dy  0.3341  0.2497  0.6682
Dy  0.3341  0.7503  0.6682
Dy  0.6659  0.2497  0.3318
Dy  0.6659  0.7503  0.3318
Ir  0.5000  0.0000  0.0000
Rh  0.1665  0.5000  0.3330
Rh  0.1683  0.0000  0.3367
Rh  0.5000  0.5000  0.0000
Rh  0.8317  0.0000  0.6633
Rh  0.8335  0.5000  0.6670

ΔH_f (0 K)   -874 meV per atom
Magnetic moment   0.0 μB per cell
SG   P2/m, No. 10

A geometry-optimized Al4ZnCo3 structure, computed with GGA-PBE.

Cell: 2.8332 2.8332 12.5414 Å, 90.00 90.00 90.00°
Fractional coordinates of all 8 atoms:
Al  0.0000  0.0000  0.1157
Al  0.0000  0.0000  0.3454
Al  0.0000  0.0000  0.6546
Al  0.0000  0.0000  0.8843
Zn  0.5000  0.5000  0.5000
Co  0.5000  0.5000  0.0000
Co  0.5000  0.5000  0.2344
Co  0.5000  0.5000  0.7656

ΔH_f (0 K)   -430 meV per atom
Magnetic moment   0.0 μB per cell
SG   P4/mmm, No. 123

A geometry-optimized Ca5In4Ag structure, computed with GGA-PBE.

Cell: 3.8541 3.8541 18.9138 Å, 90.00 90.00 90.00°
Fractional coordinates of all 10 atoms:
Ca  0.0000  0.0000  0.0000
Ca  0.0000  0.0000  0.2018
Ca  0.0000  0.0000  0.4045
Ca  0.0000  0.0000  0.5955
Ca  0.0000  0.0000  0.7982
In  0.5000  0.5000  0.1022
In  0.5000  0.5000  0.3014
In  0.5000  0.5000  0.6986
In  0.5000  0.5000  0.8978
Ag  0.5000  0.5000  0.5000

ΔH_f (0 K)   -428 meV per atom
Magnetic moment   0.0 μB per cell
SG   P4/mmm, No. 123

A geometry-optimized SrMgZn2Pt2 structure, computed with GGA-PBE.

Cell: 4.4217 4.4217 7.2103 Å, 90.00 90.00 120.00°
Fractional coordinates of all 6 atoms:
Sr  0.0000  0.0000  0.0000
Mg  0.0000  0.0000  0.5000
Zn  0.3333  0.6667  0.3169
Zn  0.6667  0.3333  0.6831
Pt  0.3333  0.6667  0.6946
Pt  0.6667  0.3333  0.3054

ΔH_f (0 K)   -695 meV per atom
Magnetic moment   0.0 μB per cell
SG   P-3m1, No. 164

A geometry-optimized Ca2AcSn2Pd structure, computed with GGA-PBE.

Cell: 6.0341 6.0341 11.8453 Å, 90.00 90.00 90.00°
Fractional coordinates of all 12 atoms:
Ca  0.0000  0.5000  0.2500
Ca  0.0000  0.5000  0.7500
Ca  0.5000  0.0000  0.2500
Ca  0.5000  0.0000  0.7500
Ac  0.0000  0.0000  0.0000
Ac  0.5000  0.5000  0.5000
Sn  0.0000  0.0000  0.2841
Sn  0.0000  0.0000  0.7159
Sn  0.5000  0.5000  0.2159
Sn  0.5000  0.5000  0.7841
Pd  0.0000  0.0000  0.5000
Pd  0.5000  0.5000  0.0000

ΔH_f (0 K)   -166 meV per atom
Magnetic moment   0.0 μB per cell
SG   I4/mmm, No. 139

A geometry-optimized Dy2PuIr2 structure, computed with GGA-PBE.

Cell: 7.2104 7.2104 7.2104 Å, 114.88 84.20 132.88°
Fractional coordinates of all 10 atoms:
Dy  0.1752  0.1421  0.3173
Dy  0.3248  0.6421  0.9669
Dy  0.6752  0.3579  0.0331
Dy  0.8248  0.8579  0.6827
Pu  0.2500  0.7500  0.5000
Pu  0.7500  0.2500  0.5000
Ir  0.0869  0.7914  0.8784
Ir  0.4131  0.2914  0.7045
Ir  0.5869  0.7086  0.2955
Ir  0.9131  0.2086  0.1216

ΔH_f (0 K)   -513 meV per atom
Magnetic moment   11.2 μB per cell
Energy above the most stable polymorph in this dataset   131 meV/atom
SG   Ibam, No. 72

A geometry-optimized TbPm2ScBi4 structure, computed with GGA-PBE.

Cell: 7.7589 4.4897 7.7713 Å, 90.00 109.51 90.00°
Fractional coordinates of all 8 atoms:
Tb  0.0000  0.0000  0.0000
Pm  0.5000  0.0000  0.5000
Pm  0.5000  0.5000  0.0000
Sc  0.0000  0.5000  0.5000
Bi  0.2341  0.0000  0.7380
Bi  0.2391  0.5000  0.2532
Bi  0.7609  0.5000  0.7468
Bi  0.7659  0.0000  0.2620

ΔH_f (0 K)   -841 meV per atom
Magnetic moment   0.0 μB per cell
SG   P2/m, No. 10

A geometry-optimized Nd12Dy6Tm structure, computed with GGA-PBE.

Cell: 8.6859 8.6859 8.6859 Å, 88.96 88.96 88.96°
Fractional coordinates of all 19 atoms:
Nd  0.0177  0.1930  0.3622
Nd  0.1930  0.3622  0.0177
Nd  0.2189  0.4633  0.5666
Nd  0.3622  0.0177  0.1930
Nd  0.4334  0.7811  0.5367
Nd  0.4633  0.5666  0.2189
Nd  0.5367  0.4334  0.7811
Nd  0.5666  0.2189  0.4633
Nd  0.6378  0.9823  0.8070
Nd  0.7811  0.5367  0.4334
Nd  0.8070  0.6378  0.9823
Nd  0.9823  0.8070  0.6378
Dy  0.0985  0.7037  0.2595
Dy  0.2595  0.0985  0.7037
Dy  0.2963  0.7405  0.9015
Dy  0.7037  0.2595  0.0985
Dy  0.7405  0.9015  0.2963
Dy  0.9015  0.2963  0.7405
Tm  0.0000  0.0000  0.0000

ΔH_f (0 K)   133 meV per atom
Magnetic moment   0.0 μB per cell
Energy above the most stable polymorph in this dataset   0 meV/atom
SG   R-3, No. 148

A geometry-optimized Fe4C5 structure, computed with GGA-PBE.

Cell: 5.7194 5.7194 5.7194 Å, 92.90 92.90 154.01°
Fractional coordinates of all 9 atoms:
Fe  0.0000  0.2347  0.2347
Fe  0.0000  0.7653  0.7653
Fe  0.2347  0.0000  0.2347
Fe  0.7653  0.0000  0.7653
C  0.0000  0.0000  0.0000
C  0.2838  0.2838  0.5677
C  0.2838  0.7162  0.0000
C  0.7162  0.2838  0.0000
C  0.7162  0.7162  0.4323

ΔH_f (0 K)   937 meV per atom
Magnetic moment   5.1 μB per cell
Energy above the most stable polymorph in this dataset   0 meV/atom
SG   I4/mmm, No. 139

A geometry-optimized La2ThTl structure, computed with GGA-PBE.

Cell: 3.6816 3.6816 9.5840 Å, 90.00 90.00 90.00°
Fractional coordinates of all 4 atoms:
La  0.0000  0.0000  0.2411
La  0.0000  0.0000  0.7589
Th  0.5000  0.5000  0.5000
Tl  0.5000  0.5000  0.0000

ΔH_f (0 K)   -194 meV per atom
Magnetic moment   0.0 μB per cell
Energy above the most stable polymorph in this dataset   0 meV/atom
SG   P4/mmm, No. 123

A geometry-optimized BeZnTe2 structure, computed with GGA-PBE.

Cell: 7.6278 7.6278 6.2363 Å, 90.00 90.00 90.00°
Fractional coordinates of all 16 atoms:
Be  0.0000  0.5000  0.2500
Be  0.0000  0.5000  0.7500
Be  0.5000  0.0000  0.2500
Be  0.5000  0.0000  0.7500
Zn  0.0000  0.0000  0.2500
Zn  0.0000  0.0000  0.7500
Zn  0.5000  0.5000  0.2500
Zn  0.5000  0.5000  0.7500
Te  0.1751  0.3249  0.0000
Te  0.1751  0.6751  0.5000
Te  0.3249  0.1751  0.5000
Te  0.3249  0.8249  0.0000
Te  0.6751  0.1751  0.0000
Te  0.6751  0.8249  0.5000
Te  0.8249  0.3249  0.5000
Te  0.8249  0.6751  0.0000

Magnetic moment   0.0 μB per cell
Energy above the most stable polymorph in this dataset   496 meV/atom
SG   I4/mcm, No. 140
Energy relative to the elements, uncorrected   0.35 eV per formula unit

A geometry-optimized Tb3Ho8Sc2 structure, computed with GGA-PBE.

Cell: 8.5936 8.5936 6.6677 Å, 106.23 106.23 63.44°
Fractional coordinates of all 13 atoms:
Tb  0.0000  0.0000  0.0000
Tb  0.1716  0.8284  0.5000
Tb  0.8284  0.1716  0.5000
Ho  0.1909  0.1909  0.8960
Ho  0.1987  0.5603  0.8083
Ho  0.4094  0.4094  0.2776
Ho  0.4397  0.8013  0.1917
Ho  0.5603  0.1987  0.8083
Ho  0.5906  0.5906  0.7224
Ho  0.8013  0.4397  0.1917
Ho  0.8091  0.8091  0.1040
Sc  0.2037  0.2037  0.4226
Sc  0.7963  0.7963  0.5774

ΔH_f (0 K)   236 meV per atom
Magnetic moment   0.0 μB per cell
Energy above the most stable polymorph in this dataset   0 meV/atom
SG   C2/m, No. 12

A geometry-optimized La2TbAu3 structure, computed with GGA-PBE.

Cell: 5.2342 16.0166 3.6974 Å, 90.00 90.00 90.00°
Fractional coordinates of all 12 atoms:
La  0.2500  0.0815  0.0086
La  0.2500  0.4185  0.0086
La  0.7500  0.5815  0.9914
La  0.7500  0.9185  0.9914
Tb  0.2500  0.7500  0.9927
Tb  0.7500  0.2500  0.0073
Au  0.2500  0.2500  0.5064
Au  0.2500  0.5967  0.4922
Au  0.2500  0.9033  0.4922
Au  0.7500  0.0967  0.5078
Au  0.7500  0.4033  0.5078
Au  0.7500  0.7500  0.4936

ΔH_f (0 K)   -796 meV per atom
Magnetic moment   0.0 μB per cell
SG   Pmmn, No. 59

A geometry-optimized HoPN structure, computed with GGA-PBE.

Cell: 4.6204 4.6204 8.9631 Å, 90.00 90.00 85.68°
Fractional coordinates of all 12 atoms:
Ho  0.2323  0.2677  0.2500
Ho  0.2677  0.2323  0.7500
Ho  0.7323  0.7677  0.2500
Ho  0.7677  0.7323  0.7500
P  0.1931  0.8069  0.4868
P  0.3069  0.6931  0.9868
P  0.6931  0.3069  0.0132
P  0.8069  0.1931  0.5132
N  0.2363  0.7637  0.1715
N  0.2637  0.7363  0.6715
N  0.7363  0.2637  0.3285
N  0.7637  0.2363  0.8285

Magnetic moment   0.0 μB per cell
SG   Cmce, No. 64
Energy relative to the elements, uncorrected   -2.61 eV per formula unit

A geometry-optimized SiAgHg2 structure, computed with GGA-PBE.

Cell: 8.4898 3.3624 6.1284 Å, 90.00 103.21 90.00°
Fractional coordinates of all 8 atoms:
Si  0.0000  0.0000  0.0000
Si  0.5000  0.5000  0.0000
Ag  0.0000  0.5000  0.5000
Ag  0.5000  0.0000  0.5000
Hg  0.2477  0.5000  0.2385
Hg  0.2523  0.0000  0.7615
Hg  0.7477  0.0000  0.2385
Hg  0.7523  0.5000  0.7615

Magnetic moment   0.0 μB per cell
SG   C2/m, No. 12
Energy relative to the elements, uncorrected   1.42 eV per formula unit

A geometry-optimized Pm3SN2 structure, computed with GGA-PBE.

Cell: 6.6933 6.6933 10.0159 Å, 90.00 90.00 146.79°
Fractional coordinates of all 12 atoms:
Pm  0.0706  0.9294  0.7500
Pm  0.3786  0.6214  0.5684
Pm  0.3786  0.6214  0.9316
Pm  0.6214  0.3786  0.0684
Pm  0.6214  0.3786  0.4316
Pm  0.9294  0.0706  0.2500
S  0.2518  0.7482  0.2500
S  0.7482  0.2518  0.7500
N  0.0000  0.0000  0.0000
N  0.0000  0.0000  0.5000
N  0.4738  0.5262  0.7500
N  0.5262  0.4738  0.2500

Magnetic moment   1.3 μB per cell
SG   Cmcm, No. 63
Energy relative to the elements, uncorrected   -8.65 eV per formula unit